A PBEsol-optimized structure of Ag2IrOs, computed with meta-GGA SCAN.

Values from the calculation:
Total magnetization: 0.0 Bohr magnetons per cell
Volume: 15.1 Å³ per atom
Calculated formation energy: 1.08 eV/f.u.
E: -1.8800 Ha/atom
Symmetry: R3m, No. 160

Cell and atoms, written as POSCAR:
```
Ag2IrOs
1.0
1.372 0.792 9.267
-1.372 0.792 9.267
0.000 -1.585 9.267
Ag Ir Os
2 1 1
Direct
0.000 0.000 0.000 Ag
0.247 0.247 0.247 Ag
0.494 0.494 0.494 Ir
0.753 0.753 0.753 Os
```